(1)
Below is crystalline Pr4NdIn at its relaxed geometry, with properties calculated at the PBE-GGA level.

Crystal system ... monoclinic
Excess energy over the best structure of this formula in the dataset ... 167 meV/atom
Calculated volume ... 35.8 A^3/atom

Structure (CIF):
```
data_Pr4NdIn
_chemical_formula_sum 'Pr16 Nd4 In4'
_cell_length_a 10.111
_cell_length_b 14.619
_cell_length_c 6.496
_cell_angle_alpha 90.00
_cell_angle_beta 116.50
_cell_angle_gamma 90.00
_space_group_name_H-M_alt 'C 1 2/m 1'
_space_group_IT_number 12
loop_
_space_group_symop_operation_xyz
'x,y,z'
'-x,-y,-z'
'-x,y,-z'
'x,-y,z'
'x+1/2,y+1/2,z'
'-x+1/2,-y+1/2,-z'
'-x+1/2,y+1/2,-z'
'x+1/2,-y+1/2,z'
loop_
_atom_site_label
_atom_site_type_symbol
_atom_site_fract_x
_atom_site_fract_y
_atom_site_fract_z
_atom_site_occupancy
Pr1 Pr 0.000 0.247 0.000 1
Pr2 Pr 0.004 0.000 0.231 1
Pr3 Pr 0.184 0.375 0.507 1
Nd1 Nd 0.141 0.500 0.955 1
In1 In 0.000 0.190 0.500 1
```

***

(2)
Below is crystalline Pm3Tm2In6 at its relaxed geometry, with properties calculated at the PBE-GGA level.

E ... -3.804 eV per atom
Crystal system ... tetragonal
Calculated volume ... 29.5 A^3/atom

Structure (CIF):
```
data_Pm3Tm2In6
_chemical_formula_sum 'Pm6 Tm4 In12'
_cell_length_a 4.727
_cell_length_b 4.727
_cell_length_c 28.994
_cell_angle_alpha 90.00
_cell_angle_beta 90.00
_cell_angle_gamma 90.00
_space_group_name_H-M_alt 'I 4/m m m'
_space_group_IT_number 139
_space_group_name_Hall '-I 4 2'
loop_
_atom_site_label
_atom_site_type_symbol
_atom_site_fract_x
_atom_site_fract_y
_atom_site_fract_z
_atom_site_occupancy
Pm1 Pm 0.000 0.000 0.000 1
Pm2 Pm 0.000 0.000 0.202 1
Tm1 Tm 0.000 0.000 0.447 1
In1 In 0.000 0.000 0.311 1
In2 In 0.000 0.500 0.118 1
```

***

(3)
Below is crystalline TaMo at its relaxed geometry, with properties calculated at the PBE-GGA level.

E ... -10.991 eV per atom
Crystal system ... orthorhombic
Calculated volume ... 17.8 A^3/atom

Structure (CIF):
```
data_TaMo
_chemical_formula_sum 'Ta4 Mo4'
_cell_length_a 3.160
_cell_length_b 10.068
_cell_length_c 4.464
_cell_angle_alpha 90.00
_cell_angle_beta 90.00
_cell_angle_gamma 90.00
_space_group_name_H-M_alt 'C m c m'
_space_group_IT_number 63
_space_group_name_Hall '-C 2c 2'
loop_
_atom_site_label
_atom_site_type_symbol
_atom_site_fract_x
_atom_site_fract_y
_atom_site_fract_z
_atom_site_occupancy
Ta1 Ta 0.000 0.110 0.250 1
Mo1 Mo 0.000 0.379 0.250 1
```

***

(4)
Below is crystalline MgTi2Au at its relaxed geometry, with properties calculated at the PBE-GGA level.

E ... -4.993 eV per atom
Crystal system ... tetragonal
Calculated volume ... 19.5 A^3/atom

Structure (CIF):
```
data_MgTi2Au
_chemical_formula_sum 'Mg4 Ti8 Au4'
_cell_length_a 7.674
_cell_length_b 7.674
_cell_length_c 5.303
_cell_angle_alpha 90.00
_cell_angle_beta 90.00
_cell_angle_gamma 90.00
_space_group_name_H-M_alt 'I -4 2 d'
_space_group_IT_number 122
_space_group_name_Hall 'I -4 2bw'
loop_
_atom_site_label
_atom_site_type_symbol
_atom_site_fract_x
_atom_site_fract_y
_atom_site_fract_z
_atom_site_occupancy
Mg1 Mg 0.000 0.000 0.000 1
Ti1 Ti 0.215 0.250 0.625 1
Au1 Au 0.000 0.000 0.500 1
```

***

(5)
Below is crystalline TmNbCoRu at its relaxed geometry, with properties calculated at the PBE-GGA level.

E ... -7.937 eV per atom
Crystal system ... cubic
Calculated volume ... 16.7 A^3/atom

Structure (CIF):
```
data_TmNbCoRu
_chemical_formula_sum 'Tm4 Nb4 Co4 Ru4'
_cell_length_a 6.444
_cell_length_b 6.444
_cell_length_c 6.444
_cell_angle_alpha 90.00
_cell_angle_beta 90.00
_cell_angle_gamma 90.00
_space_group_name_H-M_alt 'F -4 3 m'
_space_group_IT_number 216
_space_group_name_Hall 'F -4 2 3'
loop_
_atom_site_label
_atom_site_type_symbol
_atom_site_fract_x
_atom_site_fract_y
_atom_site_fract_z
_atom_site_occupancy
Tm1 Tm 0.000 0.000 0.000 1
Nb1 Nb 0.000 0.000 0.500 1
Co1 Co 0.250 0.250 0.250 1
Ru1 Ru 0.250 0.250 0.750 1
```

***

(6)
Below is crystalline Mg2TaFe at its relaxed geometry, with properties calculated at the PBE-GGA level.

Crystal system ... cubic
Excess energy over the best structure of this formula in the dataset ... 667 meV/atom
Calculated volume ... 16.3 A^3/atom

Structure (CIF):
```
data_Mg2TaFe
_chemical_formula_sum 'Mg8 Ta4 Fe4'
_cell_length_a 6.395
_cell_length_b 6.395
_cell_length_c 6.395
_cell_angle_alpha 90.00
_cell_angle_beta 90.00
_cell_angle_gamma 90.00
_space_group_name_H-M_alt 'F m -3 m'
_space_group_IT_number 225
_space_group_name_Hall '-F 4 2 3'
loop_
_atom_site_label
_atom_site_type_symbol
_atom_site_fract_x
_atom_site_fract_y
_atom_site_fract_z
_atom_site_occupancy
Mg1 Mg 0.250 0.250 0.250 1
Ta1 Ta 0.000 0.000 0.000 1
Fe1 Fe 0.000 0.000 0.500 1
```

***

(7)
Below is crystalline NbAlFe6 at its relaxed geometry, with properties calculated at the PBE-GGA level.

E ... -8.173 eV per atom
Crystal system ... orthorhombic
Calculated volume ... 12.5 A^3/atom

Structure (CIF):
```
data_NbAlFe6
_chemical_formula_sum 'Nb8 Al8 Fe48'
_cell_length_a 6.198
_cell_length_b 11.372
_cell_length_c 11.311
_cell_angle_alpha 90.00
_cell_angle_beta 90.00
_cell_angle_gamma 90.00
_space_group_name_H-M_alt 'C m m m'
_space_group_IT_number 65
_space_group_name_Hall '-C 2 2'
loop_
_atom_site_label
_atom_site_type_symbol
_atom_site_fract_x
_atom_site_fract_y
_atom_site_fract_z
_atom_site_occupancy
Nb1 Nb 0.000 0.000 0.248 1
Nb2 Nb 0.000 0.247 0.500 1
Al1 Al 0.000 0.249 0.000 1
Al2 Al 0.000 0.500 0.246 1
Fe1 Fe 0.000 0.000 0.000 1
Fe2 Fe 0.000 0.000 0.500 1
Fe3 Fe 0.000 0.254 0.244 1
Fe4 Fe 0.000 0.500 0.000 1
Fe5 Fe 0.000 0.500 0.500 1
Fe6 Fe 0.246 0.375 0.373 1
Fe7 Fe 0.249 0.374 0.121 1
```

***

(8)
Below is crystalline La6TbDyHo2 at its relaxed geometry, with properties calculated at the PBE-GGA level.

E ... -4.688 eV per atom
Crystal system ... monoclinic
Calculated volume ... 35.0 A^3/atom

Structure (CIF):
```
data_La6TbDyHo2
_chemical_formula_sum 'La24 Tb4 Dy4 Ho8'
_cell_length_a 9.328
_cell_length_b 15.440
_cell_length_c 9.826
_cell_angle_alpha 90.00
_cell_angle_beta 98.63
_cell_angle_gamma 90.00
_space_group_name_H-M_alt 'C 1 2/c 1'
_space_group_IT_number 15
loop_
_space_group_symop_operation_xyz
'x,y,z'
'-x,-y,-z'
'-x,y,-z+1/2'
'x,-y,z+1/2'
'x+1/2,y+1/2,z'
'-x+1/2,-y+1/2,-z'
'-x+1/2,y+1/2,-z+1/2'
'x+1/2,-y+1/2,z+1/2'
loop_
_atom_site_label
_atom_site_type_symbol
_atom_site_fract_x
_atom_site_fract_y
_atom_site_fract_z
_atom_site_occupancy
La1 La 0.067 0.175 0.448 1
La2 La 0.098 0.395 0.620 1
La3 La 0.217 0.221 0.807 1
Tb1 Tb 0.000 0.025 0.750 1
Dy1 Dy 0.000 0.411 0.250 1
Ho1 Ho 0.244 0.047 0.046 1
```

***

(9)
Below is crystalline LiNdBi2Se4 at its relaxed geometry, with properties calculated at the PBE-GGA level.

Formation energy from raw total energies ... -0.82 eV/atom
Crystal system ... monoclinic
Calculated volume ... 29.6 A^3/atom

Structure (CIF):
```
data_LiNdBi2Se4
_chemical_formula_sum 'Li1 Nd1 Bi2 Se4'
_cell_length_a 7.480
_cell_length_b 4.126
_cell_length_c 7.984
_cell_angle_alpha 90.00
_cell_angle_beta 105.96
_cell_angle_gamma 90.00
_space_group_name_H-M_alt 'P 1 2/m 1'
_space_group_IT_number 10
loop_
_space_group_symop_operation_xyz
'x,y,z'
'-x,-y,-z'
'-x,y,-z'
'x,-y,z'
loop_
_atom_site_label
_atom_site_type_symbol
_atom_site_fract_x
_atom_site_fract_y
_atom_site_fract_z
_atom_site_occupancy
Li1 Li 0.000 0.000 0.000 1
Nd1 Nd 0.500 0.500 0.500 1
Bi1 Bi 0.000 0.500 0.500 1
Bi2 Bi 0.500 0.000 0.000 1
Se1 Se 0.273 0.500 0.119 1
Se2 Se 0.282 0.000 0.635 1
```

***

(10)
Below is crystalline TcAg2Ir at its relaxed geometry, with properties calculated at the PBE-GGA level.

Crystal system ... orthorhombic
Excess energy over the best structure of this formula in the dataset ... 429 meV/atom
Calculated volume ... 16.1 A^3/atom

Structure (CIF):
```
data_TcAg2Ir
_chemical_formula_sum 'Tc2 Ag4 Ir2'
_cell_length_a 5.261
_cell_length_b 9.015
_cell_length_c 2.711
_cell_angle_alpha 90.00
_cell_angle_beta 90.00
_cell_angle_gamma 90.00
_space_group_name_H-M_alt 'C m m m'
_space_group_IT_number 65
_space_group_name_Hall '-C 2 2'
loop_
_atom_site_label
_atom_site_type_symbol
_atom_site_fract_x
_atom_site_fract_y
_atom_site_fract_z
_atom_site_occupancy
Tc1 Tc 0.000 0.000 0.000 1
Ag1 Ag 0.250 0.250 0.500 1
Ir1 Ir 0.000 0.500 0.000 1
```